Density functional theory data (PBE) for InSbTe2C after structural relaxation.

## Properties
Formation energy from raw total energies (eV per atom): 1.948
Space group: No. 123
Energy above the most stable polymorph in this dataset (eV per atom): 1.082

a = 5.691 Å, b = 5.691 Å, c = 5.651 Å
α = 90.00°, β = 90.00°, γ = 90.00°
Fractional coordinates of all 5 atoms:
Te 0.000 0.500 0.000
Te 0.500 0.000 0.000
C 0.500 0.500 0.500
Sb 0.000 0.000 0.500
In 0.000 0.000 0.000

Density functional theory data (PBE) for LiCu6Ni2 after structural relaxation.

## Properties
ΔE_f (kJ per mole of atoms): -1.7
Space group: No. 12
Energy above the most stable polymorph in this dataset (eV per atom): 0.000

a = 3.631 Å, b = 4.401 Å, c = 7.592 Å
α = 95.10°, β = 76.16°, γ = 65.63°
Fractional coordinates of all 9 atoms:
Cu 0.445 0.383 0.727
Cu 0.333 0.170 0.164
Cu 0.221 0.944 0.614
Cu 0.779 0.056 0.386
Cu 0.555 0.617 0.273
Cu 0.667 0.830 0.836
Ni 0.888 0.278 0.946
Ni 0.112 0.722 0.054
Li 0.000 0.500 0.500

Density functional theory data (PBE) for MgTi2O4 after structural relaxation.

## Properties
Formation energy from raw total energies (eV per atom): -2.750
Space group: No. 74
Energy above the most stable polymorph in this dataset (eV per atom): 0.073

a = 6.053 Å, b = 6.053 Å, c = 6.053 Å
α = 121.86°, β = 119.38°, γ = 88.94°
Fractional coordinates of all 14 atoms:
O 0.256 0.253 0.002
O 0.740 0.732 0.492
O 0.249 0.747 0.502
O 0.751 0.253 0.498
O 0.744 0.747 0.998
O 0.260 0.752 0.992
O 0.260 0.268 0.508
O 0.740 0.248 0.008
Ti 0.872 0.122 0.750
Ti 0.500 0.500 0.500
Ti 0.128 0.878 0.250
Ti 0.500 0.000 0.000
Mg 0.500 0.500 0.000
Mg 0.000 0.500 0.500

Density functional theory data (PBE) for NaRh2Pb after structural relaxation.

## Properties
ΔE_f (kJ per mole of atoms): 10.9
Space group: No. 123

a = 3.321 Å, b = 4.589 Å, c = 4.589 Å
α = 90.00°, β = 90.00°, γ = 90.00°
Fractional coordinates of all 4 atoms:
Rh 0.000 0.000 0.500
Rh 0.000 0.500 0.000
Na 0.500 0.000 0.000
Pb 0.500 0.500 0.500

Density functional theory data (PBE) for Mn2CdSb after structural relaxation.

## Properties
Formation energy from raw total energies (eV per atom): 0.293
Space group: No. 8
Energy above the most stable polymorph in this dataset (eV per atom): 0.041

a = 5.507 Å, b = 5.507 Å, c = 4.818 Å
α = 73.58°, β = 73.58°, γ = 32.51°
Fractional coordinates of all 4 atoms:
Mn 0.734 0.734 0.717
Mn 0.022 0.022 0.028
Sb 0.480 0.480 0.562
Cd 0.264 0.264 0.193

Density functional theory data (PBE) for La2PmSmEr2 after structural relaxation.

## Properties
ΔE_f (kJ per mole of atoms): 7.2
Space group: No. 26

a = 5.704 Å, b = 6.889 Å, c = 10.422 Å
α = 90.00°, β = 90.00°, γ = 90.00°
Fractional coordinates of all 12 atoms:
Er 0.500 0.700 0.621
Er 0.000 0.817 0.126
Er 0.500 0.200 0.379
Er 0.000 0.317 0.874
Sm 0.500 0.692 0.302
Sm 0.500 0.192 0.698
La 0.000 0.331 0.205
La 0.500 0.558 0.970
La 0.500 0.058 0.030
La 0.000 0.831 0.795
Pm 0.000 0.448 0.534
Pm 0.000 0.948 0.466